Here is PaBeV2O8 after structural relaxation from the Alexandria database. Energies are from PBE with a Hubbard U.

DFT total energy ... -7.978 eV per atom
Mass density ... 5.86 g/cm³
Size of the total moment ... 1.0 Bohr magnetons per cell

Unit cell a=4.706 b=4.706 c=6.035 alpha=90.28 beta=90.28 gamma=84.56
Positions (direct):
Pa: 0.000 0.000 0.000
Be: 0.000 0.000 0.500
V: 0.475 0.475 0.278
V: 0.525 0.525 0.722
O: 0.198 0.798 0.714
O: 0.202 0.802 0.286
O: 0.309 0.309 0.500
O: 0.323 0.323 0.014
O: 0.677 0.677 0.986
O: 0.691 0.691 0.500
O: 0.798 0.198 0.714
O: 0.802 0.202 0.286